Li4PrNi2 | GGA-PBE | optimized geometry

volume: 17.82 Å³ per atom
size of the total moment: 0.00 μB/cell
total energy: -3.506 eV per atom
density of states at the Fermi level: 2.9 states/eV/f.u.
formation enthalpy at 0 K: -78 meV per atom

a b c (Å): 4.0173 3.8719 8.2510
angles (deg): 103.57 90.00 90.00
Closest atoms and distances in Å follow each position.
Fractional positions:
Li1 0.5000 0.8189 0.6378  2 Ni 2.60, 4 Li 2.79
Li2 0.0000 0.6747 0.3494  2 Ni 2.59, 4 Li 2.79
Li3 0.5000 0.1811 0.3622  2 Ni 2.60, 4 Li 2.79
Li4 0.0000 0.3253 0.6506  2 Ni 2.59, 4 Li 2.79
Pr1 0.0000 0.0000 0.0000  8 Ni 3.02
Ni1 0.5000 0.5725 0.1449  1 Ni 2.33, 2 Li 2.59
Ni2 0.5000 0.4275 0.8551  1 Ni 2.33, 2 Li 2.59